The following is a PBE calculation of an optimized crystal structure of Li3NpTa2N6, from Alexandria.

abc: 3.174 6.307 7.122
angles: 101.59 102.87 90.00
Fractional positions:
1 N 0.324 0.427 0.648
2 N 0.676 0.573 0.352
3 Li 0.178 0.839 0.355
4 N 0.015 0.251 0.030
5 N 0.339 0.886 0.678
6 N 0.661 0.114 0.322
7 Li 0.822 0.161 0.645
8 Np 0.500 0.000 0.000
9 Ta 0.167 0.348 0.334
10 Li 0.500 0.500 0.000
11 Ta 0.833 0.652 0.666
12 N 0.985 0.749 0.970

SG: No. 12
ΔE_f (raw) (meV/atom): -989